Computed, not measured: K2CaYSn after structural relaxation at the PBE level of DFT.

POSCAR file:
```
K2CaYSn
1.0
-4.708 1.405 4.333
-4.206 -1.838 -3.974
0.392 -6.083 2.398
Y Ca K Sn
1 1 2 1
Direct
0.500 0.500 0.500
0.000 0.500 0.000
0.000 0.000 0.500
0.500 0.000 0.000
0.000 0.000 0.000
```

Formation enthalpy at 0 K: 11.3 kcal/mol of atoms
Space group: P4/mmm (123)
N(E_F): 5.24 states/eV/f.u.
Theoretical density: 2.1 g/cm³
Crystal system: tetragonal
Magnetic moment: 0.97 μB/cell
E_tot: -2.44 eV/atom